Here is crystalline CaTc3As at its relaxed geometry from Alexandria. Energies are from PBE.

Cell: 4.6535 4.6535 4.6535 Å, 90.00 90.00 90.00°
Last column: nearest neighbours and their distance in Å.
Positions (direct):
1 As 0.0000 0.0000 0.0000  6 Tc 2.33
2 Ca 0.5000 0.5000 0.5000  12 Tc 3.29
3 Tc 0.0000 0.5000 0.0000  2 As 2.33
4 Tc 0.0000 0.0000 0.5000  2 As 2.33
5 Tc 0.5000 0.0000 0.0000  2 As 2.33

DFT formation energy, eV/f.u.: 3.6
Total DFT energy (no corrections), eV/atom: -6.84
E above lowest polymorph, eV per atom: 0.000

Here is crystalline KTb3Y2Te6 at its relaxed geometry from Alexandria. Energies are from PBE.

Cell: 4.3916 9.0013 9.9338 Å, 103.43 102.77 90.00°
Last column: nearest neighbours and their distance in Å.
Positions (direct):
1 K 0.5000 0.0000 0.0000  6 Te 3.23-3.29
2 Tb 0.5000 0.5000 0.0000  6 Te 3.06-3.12
3 Tb 0.8394 0.1807 0.6788  6 Te 3.08-3.22
4 Tb 0.1606 0.8193 0.3212  6 Te 3.08-3.22
5 Y 0.8308 0.6560 0.6616  6 Te 3.08-3.22
6 Y 0.1692 0.3440 0.3384  6 Te 3.08-3.22
7 Te 0.3254 0.9139 0.6509  3 Tb 3.10-3.22, 2 Y 3.22, 1 K 3.29
8 Te 0.6659 0.5825 0.3318  3 Tb 3.08-3.12, 3 Y 3.08-3.11
9 Te 0.6746 0.0861 0.3491  3 Tb 3.10-3.22, 2 Y 3.22, 1 K 3.29
10 Te 0.0038 0.2651 0.0077  3 Tb 3.06-3.09, 1 Y 3.11, 2 K 3.23
11 Te 0.9962 0.7349 0.9923  3 Tb 3.06-3.09, 1 Y 3.11, 2 K 3.23
12 Te 0.3341 0.4175 0.6682  3 Tb 3.08-3.12, 3 Y 3.08-3.11

Total DFT energy (no corrections), eV/atom: -5.21
Energy relative to the elements, uncorrected, eV per atom: -1.31

Here is crystalline Cu5Cl7 at its relaxed geometry from Alexandria. Energies are from PBE.

Cell: 3.6155 7.2276 13.2615 Å, 101.71 99.21 119.72°
Last column: nearest neighbours and their distance in Å.
Positions (direct):
1 Cu 0.6256 0.8374 0.5522  3 Cl 2.21-2.38
2 Cu 0.3744 0.1626 0.4478  3 Cl 2.21-2.38
3 Cu 0.7943 0.3848 0.8344  3 Cl 2.22
4 Cu 0.2057 0.6152 0.1656  3 Cl 2.22
5 Cu 0.0000 0.0000 0.0000  4 Cl 2.37-2.39
6 Cl 0.6286 0.9344 0.3736  2 Cu 2.25-2.38
7 Cl 0.3714 0.0656 0.6264  2 Cu 2.25-2.38
8 Cl 0.4731 0.5752 0.8172  2 Cu 2.22
9 Cl 0.5269 0.4248 0.1828  2 Cu 2.22
10 Cl 0.5781 0.1249 0.9156  3 Cu 2.22-2.39
11 Cl 0.0000 0.5000 0.5000  2 Cu 2.21
12 Cl 0.4219 0.8751 0.0844  3 Cu 2.22-2.39

Total DFT energy (no corrections), eV/atom: -3.25
Energy relative to the elements, uncorrected, eV per atom: -0.46

Here is crystalline Ga2TcRuCl at its relaxed geometry from Alexandria. Energies are from PBE.

Cell: 4.8032 4.3635 4.8032 Å, 90.00 90.00 90.00°
Last column: nearest neighbours and their distance in Å.
Positions (direct):
1 Ru 0.0000 0.5000 0.0000  2 Cl 2.18
2 Tc 0.5000 0.5000 0.5000  8 Ga 3.24, 4 Ru 3.40
3 Ga 0.0000 0.0000 0.5000  2 Cl 2.40
4 Ga 0.5000 0.0000 0.0000  2 Cl 2.40
5 Cl 0.0000 0.0000 0.0000  2 Ru 2.18, 4 Ga 2.40

Total DFT energy (no corrections), eV/atom: -4.24
Energy relative to the elements, uncorrected, eV per atom: 1.27

Here is crystalline Ag2SnS2 at its relaxed geometry from Alexandria. Energies are from PBE.

Cell: 7.5062 7.5062 5.7689 Å, 109.87 109.87 112.99°
Last column: nearest neighbours and their distance in Å.
Positions (direct):
1 Ag 0.7299 0.6538 0.5619  3 S 2.45-2.69
2 Ag 0.3462 0.2701 0.9381  3 S 2.45-2.69
3 Ag 0.6538 0.7299 0.0619  3 S 2.45-2.69
4 Ag 0.2701 0.3462 0.4381  3 S 2.45-2.69
5 Sn 0.1481 0.8519 0.2500  3 S 2.74-2.89
6 Sn 0.8519 0.1481 0.7500  3 S 2.74-2.89
7 S 0.3671 0.6329 0.2500  4 Ag 2.61-2.69, 1 Sn 2.74
8 S 0.8577 0.1423 0.2500  2 Ag 2.45
9 S 0.1423 0.8577 0.7500  2 Ag 2.45
10 S 0.6329 0.3671 0.7500  4 Ag 2.61-2.69, 1 Sn 2.74

Total DFT energy (no corrections), eV/atom: -3.67
Energy relative to the elements, uncorrected, eV per atom: -0.07
E above lowest polymorph, eV per atom: 0.000

Here is crystalline B3BrN3 at its relaxed geometry from Alexandria. Energies are from PBE.

Cell: 4.7744 4.7744 4.7744 Å, 90.00 90.00 90.00°
Last column: nearest neighbours and their distance in Å.
Positions (direct):
1 B 0.2500 0.0000 0.5000  4 N 1.69
2 B 0.0000 0.5000 0.2500  4 N 1.69
3 B 0.5000 0.7500 0.0000  4 N 1.69
4 B 0.7500 0.0000 0.5000  4 N 1.69
5 B 0.0000 0.5000 0.7500  4 N 1.69
6 B 0.5000 0.2500 0.0000  4 N 1.69
7 Br 0.5000 0.5000 0.5000  12 B 2.67, 12 N 2.67
8 Br 0.0000 0.0000 0.0000  12 B 2.67, 12 N 2.67
9 N 0.0000 0.2500 0.5000  4 B 1.69
10 N 0.0000 0.7500 0.5000  4 B 1.69
11 N 0.5000 0.0000 0.7500  4 B 1.69
12 N 0.7500 0.5000 0.0000  4 B 1.69
13 N 0.5000 0.0000 0.2500  4 B 1.69
14 N 0.2500 0.5000 0.0000  4 B 1.69

Total DFT energy (no corrections), eV/atom: -6.46
Energy relative to the elements, uncorrected, eV per atom: 0.21

| no. | theoretical density (g/cm3) |
| --- | --- |
| 1 | 6.7 |
| 2 | 6.5 |
| 3 | 3.3 |
| 4 | 6.2 |
| 5 | 5.6 |
| 6 | 4.7 |